No. 1
La2MgI PBE optimized geometry; E = -0.1366 Ha/atom; ΔE_f (raw) = -0.467 eV per atom
1.0
-3.410 1.064 -1.370
-1.631 -0.934 3.333
1.360 8.163 2.953
I Mg La
1 1 2
Cartesian
-1.841 4.146 2.458
-2.520 0.065 0.981
1.031 6.192 2.240
0.328 1.971 0.713

No. 2
LaMgI2 PBE optimized geometry; E = -0.1119 Ha/atom; ΔE_f (raw) = -0.639 eV per atom
1.0
-3.023 3.936 2.741
-1.128 4.960 -2.503
-5.283 1.193 -1.676
I Mg La
2 1 1
Cartesian
-2.358 2.522 -0.360
-7.075 7.566 -1.079
0.000 0.000 0.000
-4.717 5.044 -0.719

No. 3
La2MgI PBE optimized geometry; E = -0.1316 Ha/atom; ΔE_f (raw) = -0.332 eV per atom
1.0
0.000 4.001 4.001
4.001 0.000 4.001
4.001 4.001 0.000
I Mg La
1 1 2
Cartesian
4.001 4.001 4.001
0.000 0.000 0.000
2.000 2.000 2.000
6.001 6.001 6.001

No. 4
LaMgI4 PBE optimized geometry; E = -0.1212 Ha/atom; ΔE_f (raw) = -1.176 eV per atom
1.0
-1.378 -3.710 -1.248
4.459 0.536 -6.513
5.524 -3.634 4.702
La Mg I
1 1 4
Cartesian
2.073 -3.672 1.727
0.000 0.000 0.000
2.820 -1.036 -0.034
3.537 -1.905 -5.140
5.068 -4.903 2.080
7.163 -2.063 -1.777

No. 5
LaMgMnI2 PBE optimized geometry; E = -0.1384 Ha/atom; ΔE_f (raw) = -0.006 eV per atom
1.0
5.520 0.000 0.000
0.000 5.025 0.000
0.000 0.000 5.520
I Mg Mn La
2 1 1 1
Cartesian
0.000 0.000 2.760
2.760 0.000 0.000
2.760 2.513 2.760
0.000 0.000 0.000
0.000 2.513 0.000

No. 6
LaMgMoI2 PBE optimized geometry; E = -0.1291 Ha/atom; ΔE_f (raw) = 0.578 eV per atom
1.0
5.435 0.000 0.000
0.000 5.419 0.000
0.000 0.000 5.435
I Mo Mg La
2 1 1 1
Cartesian
0.000 0.000 2.718
2.718 0.000 0.000
0.000 2.710 0.000
0.000 0.000 0.000
2.718 2.710 2.718

No. 7
LaMgIN2 PBE optimized geometry; E = -0.1245 Ha/atom; ΔE_f (raw) = 1.557 eV per atom
1.0
-0.626 0.794 -4.434
4.750 -3.143 -1.234
-2.560 -3.746 -0.310
I Mg N La
1 1 2 1
Cartesian
0.000 0.000 0.000
0.782 -3.047 -2.989
-1.280 -1.873 -0.155
-0.313 0.397 -2.217
2.375 -1.572 -0.617

No. 8
La2MgI2N2 PBE optimized geometry; E = -0.2126 Ha/atom; ΔE_f (raw) = -1.329 eV per atom
1.0
-3.782 1.735 0.525
-0.804 -0.516 -4.084
-1.796 -10.129 3.787
La Mg I N
2 1 2 2
Cartesian
-3.495 -8.136 1.716
-2.887 -0.773 -1.488
0.000 0.000 0.000
-1.304 -3.036 0.640
-5.078 -5.874 -0.412
-0.402 -0.258 -2.042
-1.891 0.868 0.263

No. 9
LaMgIN2 PBE optimized geometry; E = -0.1669 Ha/atom; ΔE_f (raw) = 0.404 eV per atom
1.0
4.386 0.000 0.000
0.000 4.386 0.000
0.000 0.000 6.578
I Mg N La
1 1 2 1
Cartesian
0.000 0.000 3.289
2.193 2.193 3.289
0.000 2.193 0.000
2.193 0.000 0.000
0.000 0.000 0.000

No. 10
LaMgIN2 PBE optimized geometry; E = -0.1676 Ha/atom; ΔE_f (raw) = 0.385 eV per atom
1.0
-2.370 -2.743 2.419
3.077 -3.054 -0.449
2.378 1.760 4.325
I Mg N La
1 1 2 1
Cartesian
1.189 0.880 2.163
0.000 0.000 0.000
1.538 -1.527 -0.224
-1.185 -1.372 1.210
1.542 -2.018 3.148

No. 11
La2MgOsI PBE optimized geometry; E = -0.1917 Ha/atom; ΔE_f (raw) = -0.372 eV per atom
1.0
5.513 0.000 0.000
0.000 5.513 0.000
0.000 0.000 5.261
I Mg Os La
1 1 1 2
Cartesian
2.756 2.756 2.631
0.000 0.000 2.631
0.000 0.000 0.000
0.000 2.756 0.000
2.756 0.000 0.000

No. 12
Rb2LaMgI6 PBE optimized geometry; E = -0.1103 Ha/atom; ΔE_f (raw) = -1.225 eV per atom
1.0
8.882 0.000 0.000
0.000 8.882 0.000
4.441 4.441 6.278
I Mg Rb La
6 1 2 1
Cartesian
4.441 4.441 3.106
8.882 8.882 3.173
2.243 2.243 0.000
6.639 6.639 0.000
6.639 2.243 0.000
2.243 6.639 0.000
4.441 4.441 0.000
8.882 4.441 3.139
4.441 8.882 3.139
0.000 0.000 0.000

Repeat the twelfth record exactly.
Rb2LaMgI6 PBE optimized geometry; E = -0.1103 Ha/atom; ΔE_f (raw) = -1.225 eV per atom
1.0
8.882 0.000 0.000
0.000 8.882 0.000
4.441 4.441 6.278
I Mg Rb La
6 1 2 1
Cartesian
4.441 4.441 3.106
8.882 8.882 3.173
2.243 2.243 0.000
6.639 6.639 0.000
6.639 2.243 0.000
2.243 6.639 0.000
4.441 4.441 0.000
8.882 4.441 3.139
4.441 8.882 3.139
0.000 0.000 0.000